Record 1
The following is a GGA-PBE calculation of crystalline VRe2Au at its relaxed geometry, from the Alexandria database.

Total moment   0.0 μB/cell
Crystal system   cubic
D(E_F)   1.54 states/eV/atom
Calculated formation energy   1.9 eV per formula unit
SG   Fm-3m
Excess energy over the best structure of this formula in the dataset   0 meV/atom

Cell: 4.4230 4.4230 4.4230 Å, 60.00 60.00 60.00°
Closest atoms and distances in Å follow each position.
Sites, in units of the cell vectors:
V1 0.0000 0.0000 0.0000  8 Re 2.71
Re1 0.2500 0.2500 0.2500  4 Au 2.71, 4 V 2.71
Re2 0.7500 0.7500 0.7500  4 V 2.71, 4 Au 2.71
Au1 0.5000 0.5000 0.5000  8 Re 2.71

---

Record 2
The following is a GGA-PBE calculation of crystalline LiTmZrAl at its relaxed geometry, from the Alexandria database.

Total moment   0.0 μB/cell
Crystal system   cubic
D(E_F)   0.57 states/eV/atom
Calculated formation energy   -0.6 eV per formula unit
SG   F-43m

Cell: 4.9089 4.9089 4.9089 Å, 60.00 60.00 60.00°
Closest atoms and distances in Å follow each position.
Sites, in units of the cell vectors:
Li1 0.0000 0.0000 0.0000  4 Tm 3.01, 4 Zr 3.01
Tm1 0.7500 0.7500 0.7500  4 Al 3.01, 4 Li 3.01
Zr1 0.2500 0.2500 0.2500  4 Li 3.01, 4 Al 3.01
Al1 0.5000 0.5000 0.5000  4 Tm 3.01, 4 Zr 3.01

---

Record 3
The following is a GGA-PBE calculation of crystalline DyErRhAu at its relaxed geometry, from the Alexandria database.

Total moment   0.0 μB/cell
Crystal system   cubic
D(E_F)   0.83 states/eV/atom
Calculated formation energy   -3.4 eV per formula unit
SG   F-43m
Excess energy over the best structure of this formula in the dataset   23 meV/atom

Cell: 4.9542 4.9542 4.9542 Å, 60.00 60.00 60.00°
Closest atoms and distances in Å follow each position.
Sites, in units of the cell vectors:
Dy1 0.0000 0.0000 0.0000  4 Rh 3.03, 4 Au 3.03
Er1 0.5000 0.5000 0.5000  4 Rh 3.03, 4 Au 3.03
Rh1 0.7500 0.7500 0.7500  4 Er 3.03, 4 Dy 3.03
Au1 0.2500 0.2500 0.2500  4 Dy 3.03, 4 Er 3.03

---

Record 4
The following is a GGA-PBE calculation of crystalline K2ScRh at its relaxed geometry, from the Alexandria database.

Total moment   0.0 μB/cell
Crystal system   tetragonal
D(E_F)   0.72 states/eV/atom
Calculated formation energy   1.5 eV per formula unit
SG   I-42d
Excess energy over the best structure of this formula in the dataset   402 meV/atom

Cell: 9.1237 9.1237 9.1237 Å, 93.86 93.86 149.91°
Closest atoms and distances in Å follow each position.
Sites, in units of the cell vectors:
K1 0.3750 0.2201 0.3451  2 Rh 3.39, 2 Sc 3.78
K2 0.7799 0.1250 0.1549  2 Rh 3.39, 2 Sc 3.78
K3 0.8750 0.0299 0.6549  2 Rh 3.39, 2 Sc 3.78
K4 0.9701 0.6250 0.8451  2 Rh 3.39, 2 Sc 3.78
Sc1 0.2500 0.7500 0.5000  2 Rh 2.37
Sc2 0.5000 0.5000 0.0000  2 Rh 2.37
Rh1 0.0000 0.0000 0.0000  2 Sc 2.37
Rh2 0.7500 0.2500 0.5000  2 Sc 2.37

---

Record 5
The following is a GGA-PBE calculation of crystalline TmThPb2 at its relaxed geometry, from the Alexandria database.

Total moment   0.0 μB/cell
Crystal system   tetragonal
D(E_F)   1.12 states/eV/atom
Calculated formation energy   -1.3 eV per formula unit
SG   P4/mmm
Excess energy over the best structure of this formula in the dataset   0 meV/atom

Cell: 5.0417 5.0417 4.5459 Å, 90.00 90.00 90.00°
Closest atoms and distances in Å follow each position.
Sites, in units of the cell vectors:
Tm1 0.0000 0.0000 0.0000  8 Pb 3.39, 4 Th 3.57
Th1 0.5000 0.5000 0.0000  8 Pb 3.39, 4 Tm 3.57
Pb1 0.0000 0.5000 0.5000  4 Th 3.39, 4 Tm 3.39, 4 Pb 3.57
Pb2 0.5000 0.0000 0.5000  4 Th 3.39, 4 Tm 3.39, 4 Pb 3.57

---

Record 6
The following is a GGA-PBE calculation of crystalline In2SiPd at its relaxed geometry, from the Alexandria database.

Total moment   0.0 μB/cell
Crystal system   tetragonal
Formation energy without anion corrections   7.3 kcal/mol of atoms
D(E_F)   0.03 states/eV/atom
SG   I-42d

Cell: 7.7673 7.7673 7.7673 Å, 135.67 135.67 64.50°
Closest atoms and distances in Å follow each position.
Sites, in units of the cell vectors:
In1 0.1182 0.6250 0.9932  2 Si 2.62, 2 Pd 2.67
In2 0.3750 0.3682 0.4932  2 Si 2.62, 2 Pd 2.67
In3 0.6318 0.1250 0.0068  2 Si 2.62, 2 Pd 2.67
In4 0.8750 0.8818 0.5068  2 Si 2.62, 2 Pd 2.67
Si1 0.0000 0.0000 0.0000  4 In 2.62
Si2 0.7500 0.2500 0.5000  4 In 2.62
Pd1 0.2500 0.7500 0.5000  4 In 2.67
Pd2 0.5000 0.5000 0.0000  4 In 2.67

---

Record 7
The following is a GGA-PBE calculation of crystalline Rb3HfCu at its relaxed geometry, from the Alexandria database.

Total moment   4.0 μB/cell
Crystal system   cubic
D(E_F)   7.95 states/eV/atom
Calculated formation energy   6.1 eV per formula unit
SG   Pm-3m
Excess energy over the best structure of this formula in the dataset   0 meV/atom

Cell: 6.4845 6.4845 6.4845 Å, 90.00 90.00 90.00°
Closest atoms and distances in Å follow each position.
Sites, in units of the cell vectors:
Rb1 0.0000 0.0000 0.5000  2 Cu 3.24
Rb2 0.0000 0.5000 0.0000  2 Cu 3.24
Rb3 0.5000 0.0000 0.0000  2 Cu 3.24
Hf1 0.5000 0.5000 0.5000  12 Rb 4.59
Cu1 0.0000 0.0000 0.0000  6 Rb 3.24

---

Record 8
The following is a GGA-PBE calculation of crystalline MgPb3F at its relaxed geometry, from the Alexandria database.

Total moment   0.0 μB/cell
Crystal system   cubic
Formation energy without anion corrections   1.7 kcal/mol of atoms
D(E_F)   0.79 states/eV/atom
SG   Pm-3m
Excess energy over the best structure of this formula in the dataset   520 meV/atom

Cell: 5.5037 5.5037 5.5037 Å, 90.00 90.00 90.00°
Closest atoms and distances in Å follow each position.
Sites, in units of the cell vectors:
Mg1 0.0000 0.0000 0.0000  6 Pb 2.75
Pb1 0.0000 0.0000 0.5000  2 Mg 2.75
Pb2 0.0000 0.5000 0.0000  2 Mg 2.75
Pb3 0.5000 0.0000 0.0000  2 Mg 2.75
F1 0.5000 0.5000 0.5000  12 Pb 3.89